Compound: Pr5ThTl3
Source: Alexandria via LeMat-Bulk
Functional: PBE
Structure: optimized geometry

a b c (Å): 6.8983 9.7529 9.7534
angles (deg): 120.00 90.00 90.00
Element x y z (fractional)
Tl: 0.2500 0.6617 0.6617
Tl: 0.7500 0.6617 0.0000
Tl: 0.2500 0.3383 0.0000
Tl: 0.2500 0.0000 0.3383
Tl: 0.7500 0.3383 0.3383
Tl: 0.7500 0.0000 0.6617
Pr: 0.7500 0.3267 0.0000
Pr: 0.7500 0.0000 0.3267
Pr: 0.2500 0.6733 0.0000
Pr: 0.5000 0.3333 0.6667
Pr: 0.2500 0.3267 0.3267
Pr: 0.2500 0.0000 0.6733
Pr: 0.0000 0.3333 0.6667
Pr: 0.7500 0.6733 0.6733
Pr: 0.5000 0.6667 0.3333
Pr: 0.0000 0.6667 0.3333
Th: 0.0000 0.0000 0.0000
Th: 0.5000 0.0000 0.0000

Results
**Electronic total energy**: -4.49 eV/atom
**Magnetic moment**: 0.1669 μB/atom
**SG**: No. 193
**Calculated formation energy**: -0.226 eV/atom
**Calculated volume**: 284.1 Å³/f.u.

Compound: CaRu2Pb
Source: Alexandria via LeMat-Bulk
Functional: PBE
Structure: optimized geometry

a b c (Å): 5.5011 5.4921 3.0552
angles (deg): 75.78 86.29 118.87
Element x y z (fractional)
Pb: 0.5000 0.5000 0.0000
Ru: 0.5000 0.0000 0.5000
Ru: 0.0000 0.0000 0.0000
Ca: 0.0000 0.5000 0.5000

Results
**Electronic total energy**: -5.57 eV/atom
**Magnetic moment**: 0.0000 μB/atom
**SG**: No. 12
**Calculated formation energy**: 0.500 eV/atom
**Calculated volume**: 76.5 Å³/f.u.

Compound: Ho2GePt
Source: Alexandria via LeMat-Bulk
Functional: PBE
Structure: optimized geometry

a b c (Å): 4.2890 5.7902 7.7894
angles (deg): 110.47 90.00 90.00
Element x y z (fractional)
Pt: 0.2500 0.3445 0.7096
Pt: 0.7500 0.6555 0.2904
Ho: 0.2500 0.7854 0.5591
Ho: 0.7500 0.2146 0.4409
Ho: 0.7500 0.2260 0.9146
Ho: 0.2500 0.7740 0.0854
Ge: 0.2500 0.3232 0.2057
Ge: 0.7500 0.6768 0.7943

Results
**Electronic total energy**: -6.05 eV/atom
**Magnetic moment**: 0.0000 μB/atom
**SG**: No. 11
**Calculated formation energy**: -1.097 eV/atom
**Calculated volume**: 90.6 Å³/f.u.

Compound: La3Tb8Ce
Source: Alexandria via LeMat-Bulk
Functional: PBE
Structure: optimized geometry

a b c (Å): 8.4246 8.4246 8.4246
angles (deg): 95.53 116.86 116.86
Element x y z (fractional)
La: 0.5000 0.7500 0.2500
La: 0.0000 0.5000 0.5000
La: 0.5000 0.2500 0.7500
Tb: 0.0000 0.7990 0.2613
Tb: 0.4623 0.2010 0.2010
Tb: 0.0000 0.2613 0.7990
Tb: 0.0000 0.6413 0.8867
Tb: 0.2454 0.3587 0.3587
Tb: 0.7546 0.1133 0.1133
Tb: 0.0000 0.8867 0.6413
Tb: 0.5377 0.7387 0.7387
Ce: 0.0000 0.0000 0.0000

Results
**Electronic total energy**: -4.25 eV/atom
**Magnetic moment**: 0.0001 μB/atom
**SG**: No. 121
**Calculated formation energy**: 0.558 eV/atom
**Calculated volume**: 440.7 Å³/f.u.

Compound: ReN
Source: Alexandria via LeMat-Bulk
Functional: PBE
Structure: optimized geometry

a b c (Å): 6.3621 6.3621 6.3621
angles (deg): 90.00 90.00 90.00
Element x y z (fractional)
N: 0.8264 0.8264 0.1736
N: 0.8264 0.1736 0.8264
N: 0.3264 0.3264 0.6736
N: 0.1736 0.1736 0.1736
N: 0.6736 0.3264 0.3264
N: 0.1736 0.8264 0.8264
N: 0.3264 0.6736 0.3264
N: 0.6736 0.6736 0.6736
Re: 0.1459 0.8541 0.1459
Re: 0.1459 0.1459 0.8541
Re: 0.3541 0.6459 0.6459
Re: 0.3541 0.3541 0.3541
Re: 0.6459 0.6459 0.3541
Re: 0.6459 0.3541 0.6459
Re: 0.8541 0.8541 0.8541
Re: 0.8541 0.1459 0.1459

Results
**Electronic total energy**: -9.73 eV/atom
**Magnetic moment**: 0.0000 μB/atom
**SG**: No. 217
**E above lowest polymorph**: 617 meV/atom
**Formation energy (no corrections)**: 1.323 eV per formula unit
**Calculated volume**: 32.2 Å³/f.u.

Compound: BeOsC3
Source: Alexandria via LeMat-Bulk
Functional: PBE
Structure: optimized geometry

a b c (Å): 3.5139 3.5139 3.5139
angles (deg): 90.00 90.00 90.00
Element x y z (fractional)
C: 0.5000 0.0000 0.0000
C: 0.0000 0.0000 0.5000
C: 0.0000 0.5000 0.0000
Os: 0.5000 0.5000 0.5000
Be: 0.0000 0.0000 0.0000

Results
**Electronic total energy**: -6.00 eV/atom
**Magnetic moment**: 0.0000 μB/atom
**SG**: No. 221
**E above lowest polymorph**: 273 meV/atom
**Calculated formation energy**: 2.524 eV/atom
**Calculated volume**: 43.4 Å³/f.u.

- The highest electronic total energy belongs to which entry?
  La3Tb8Ce